A relaxed NaCaPb3 crystal, computed with GGA-PBEsol.

Results
As for the formation energy: 0.36 eV per atom. The total DFT energy (no corrections) comes out at -2.74 eV per atom. The calculation puts the total magnetization at 0.000 μB per atom. As for the crystal system: cubic.

Cell: 5.811 5.811 5.811 Å, 90.00 90.00 90.00°
Element x y z (fractional)
Na (0.500, 0.500, 0.500)
Pb (0.000, 0.500, 0.000)
Pb (0.500, 0.000, 0.000)
Pb (0.000, 0.000, 0.500)
Ca (0.000, 0.000, 0.000)